Entry 1:
The following is a DFT calculation (PBE) of a relaxed Pa6SiS12 crystal.

Cell: 7.769 7.769 7.769 Å, 100.06 100.06 100.06°
Each line ends with the local moment (μB).
Fractional coordinates of all 19 atoms:
S  0.428  0.821  0.569  -0.04
S  0.309  0.060  0.960  -0.03
S  0.569  0.428  0.821  -0.04
S  0.431  0.572  0.179  -0.04
S  0.040  0.691  0.940  -0.03
S  0.960  0.309  0.060  -0.03
Pa  0.870  0.376  0.704  1.15
S  0.940  0.040  0.691  -0.03
S  0.060  0.960  0.309  -0.03
S  0.821  0.569  0.428  -0.04
Pa  0.704  0.870  0.376  1.15
Pa  0.296  0.130  0.624  1.15
Pa  0.130  0.624  0.296  1.15
Pa  0.624  0.296  0.130  1.15
S  0.179  0.431  0.572  -0.04
Pa  0.376  0.704  0.870  1.15
S  0.572  0.179  0.431  -0.04
Si  0.000  0.000  0.000  0.00
S  0.691  0.940  0.040  -0.03

Results
Calculated density (g/cm³): 6.7
VASP energy (eV/atom): -7.31
Formation energy from raw total energies (eV/atom): -1.418
D(E_F) (states/eV per cell): 24.46
Crystal system: trigonal
SG: R-3, No. 148

Entry 2:
The following is a DFT calculation (PBE) of a relaxed BaFeIr2 crystal.

Cell: 9.857 9.857 9.857 Å, 17.81 17.81 17.81°
Each line ends with the local moment (μB).
Fractional coordinates of all 4 atoms:
Fe  0.729  0.729  0.729  2.90
Ir  0.265  0.265  0.265  -0.15
Ba  0.503  0.503  0.503  -0.01
Ir  0.003  0.003  0.003  0.53

Results
Calculated density (g/cm³): 12.3
VASP energy (eV/atom): -6.15
D(E_F) (states/eV per cell): 4.01
Calculated formation energy (eV per atom): 0.88
Crystal system: trigonal
SG: R3m, No. 160

- The lowest calculated density belongs to which entry?
  Pa6SiS12

- Look up the VASP energy of the first one.
  -7.31 eV/atom